Record 1
# FeSn2

An optimized crystal structure of FeSn2 (PBE, OQMD via LeMat-Bulk).

The volume is 55.374 Å³/atom. The total energy comes out at -4.62 eV/atom.

The structure belongs to space group Fd-3m (No. 227, origin choice 2); the cell edges are 10.994, 10.994 and 10.994 Å and the angles 90.00°, 90.00° and 90.00°. Symmetry generates all atoms from Fe at (0.125, 0.125, 0.125) and Sn at (0.000, 0.000, 0.000).

=====

Record 2
# ThGaBr

An optimized crystal structure of ThGaBr (PBE, OQMD via LeMat-Bulk).

The volume is 29.567 Å³/atom. The total energy comes out at -5.09 eV/atom.

The structure belongs to space group C2/m (No. 12); the cell edges are 7.232, 4.177 and 11.996 Å and the angles 90.00°, 101.71° and 90.00°. Symmetry generates all atoms from Th at (0.059, 0.000, 0.175), Ga at (0.165, 0.500, 0.996) and Br at (0.219, 0.000, 0.659).

=====

Record 3
# CsRb2Ag3Sb2

An optimized crystal structure of CsRb2Ag3Sb2 (PBE, OQMD via LeMat-Bulk).

The volume is 35.371 Å³/atom. The total energy comes out at -2.80 eV/atom.

The structure belongs to space group R-3m (No. 166, hexagonal axes); the cell edges are 6.5222, 6.5222 and 23.0432 Å and the angles 90.00°, 90.00° and 120.00°. Symmetry generates all atoms from Cs at (0.0000, 0.0000, 0.0000), Rb at (0.0000, 0.0000, 0.4130), Ag at (0.0000, 0.5000, 0.5000) and Sb at (0.0000, 0.0000, 0.2521).

=====

Record 4
# Lu2IrPd

An optimized crystal structure of Lu2IrPd (PBE, OQMD via LeMat-Bulk).

The volume is 15.394 Å³/atom. The total energy comes out at -5.88 eV/atom.

The structure belongs to space group F-43m (No. 216); the cell edges are 6.268, 6.268 and 6.268 Å and the angles 90.00°, 90.00° and 90.00°. Symmetry generates all atoms from Lu at (0.000, 0.000, 0.000), Lu at (0.250, 0.250, 0.250), Ir at (0.250, 0.250, 0.750) and Pd at (0.000, 0.000, 0.500).

=====

Record 5
# SrErAgTeS2

An optimized crystal structure of SrErAgTeS2 (PBE, OQMD via LeMat-Bulk).

The volume is 27.014 Å³/atom. The total energy comes out at -4.83 eV/atom.

The structure belongs to space group Cmcm (No. 63); the cell edges are 4.067, 14.516 and 10.981 Å and the angles 90.00°, 90.00° and 90.00°. Symmetry generates all atoms from Sr at (0.000, 0.206, 0.250), Er at (0.000, 0.000, 0.000), Ag at (0.000, 0.487, 0.750), Te at (0.000, 0.114, 0.750) and S at (0.000, 0.381, 0.568).

=====

Record 6
# NaLuCd

An optimized crystal structure of NaLuCd (PBE, OQMD via LeMat-Bulk).

The volume is 31.083 Å³/atom. The total energy comes out at -1.72 eV/atom.

The structure belongs to space group F-43m (No. 216); the cell edges are 7.198, 7.198 and 7.198 Å and the angles 90.00°, 90.00° and 90.00°. Symmetry generates all atoms from Na at (0.000, 0.000, 0.000), Lu at (0.250, 0.250, 0.750) and Cd at (0.000, 0.000, 0.500).

=====

Q: What is the total energy in the fourth record?
A: -5.88 eV/atom

=====

Q: Among the records above, which one has the highest total energy?
A: NaLuCd

=====

Q: total energy of number 5 (SrErAgTeS2)?
A: -4.83 eV/atom